Entry 1:
A plane-wave DFT calculation with PBE was carried out for a relaxed ErTh2Sn2 crystal.

Its density of states at the Fermi level is 8.74 states/eV per cell. The formation enthalpy at 0 K comes out at -0.57 eV per atom.

```
10
Lattice="8.185 0.000 0.000 0.000 8.185 0.000 0.000 0.000 4.459" Properties=species:S:1:pos:R:3 pbc="T T T"
Er 0.000 0.000 0.000
Er 4.093 4.093 0.000
Th 1.379 2.714 2.229
Th 2.714 6.806 2.229
Th 5.471 1.379 2.229
Th 6.806 5.471 2.229
Sn 1.100 5.193 0.000
Sn 2.992 1.100 0.000
Sn 5.193 7.085 0.000
Sn 7.085 2.992 0.000
```

---

Entry 2:
A plane-wave DFT calculation with PBE was carried out for a relaxed VHgTe2 crystal.

The uncorrected formation energy comes out at -8 kJ/mol of atoms. Its density of states at the Fermi level is 1.89 states/eV per cell.

```
8
Lattice="-4.775 4.775 3.064 4.775 -4.775 3.064 4.775 4.775 -3.064" Properties=species:S:1:pos:R:3 pbc="T T T"
V 4.775 0.000 1.532
V 0.000 4.775 1.532
Hg 0.000 0.000 1.532
Hg 0.000 0.000 4.596
Te 6.229 1.454 0.000
Te 1.454 3.321 0.000
Te 3.321 1.454 3.064
Te -1.454 3.321 3.064
```

---

Entry 3:
A plane-wave DFT calculation with PBE was carried out for a relaxed Ba2NpBe2P4 crystal.

Its density of states at the Fermi level is 8.72 states/eV per cell. The formation enthalpy at 0 K comes out at -0.76 eV per atom.

```
9
Lattice="7.352 -1.993 0.000 7.352 1.993 0.000 -2.579 0.000 6.936" Properties=species:S:1:pos:R:3 pbc="T T T"
Ba 1.822 0.000 0.544
Ba 10.304 0.000 6.392
Np -1.289 0.000 3.468
Be 3.475 0.000 3.623
Be 8.651 0.000 3.314
P 1.310 0.000 4.477
P 5.118 0.000 5.102
P 7.008 0.000 1.834
P 10.816 0.000 2.459
```

---

Summary of energy in eV/atom
-6.051; -4.013; -5.861
(order as listed above)